A plane-wave DFT calculation with PBE was carried out for Tl2Ga2Se after structural relaxation.

Structure (extended XYZ):
```
10
Lattice="7.1660 0.0000 0.0000 0.0000 7.1660 0.0000 0.0000 0.0000 5.1168" Properties=species:S:1:pos:R:3 pbc="T T T"
Ga 6.2018 4.5471 0.0000
Se 0.0000 0.0000 0.0000
Tl 5.9269 2.3439 2.5584
Ga 0.9642 2.6188 0.0000
Se 3.5830 3.5830 0.0000
Tl 4.8221 5.9269 2.5584
Tl 2.3439 1.2391 2.5584
Tl 1.2391 4.8221 2.5584
Ga 2.6188 6.2018 0.0000
Ga 4.5471 0.9642 0.0000
```

Values from the calculation:
ΔE_f (raw) = -0.05 eV per atom
symmetry = P4/mbm, No. 127
density of states at the Fermi level = 0.289 states/eV/atom

---

A plane-wave DFT calculation with PBE was carried out for V2ZnRh4 after structural relaxation.

Structure (extended XYZ):
```
7
Lattice="-2.5307 -0.0168 -0.8988 -0.0098 -4.1995 0.1063 -1.6993 2.3267 8.7533" Properties=species:S:1:pos:R:3 pbc="T T T"
V -1.7643 -2.0718 0.9940
Rh -2.8946 0.1115 4.1357
Zn 0.0000 0.0000 0.0000
Rh -1.3452 -2.0011 3.8250
Rh -0.8154 0.0600 2.2948
V -2.4755 0.1822 6.9667
Rh -3.4244 -1.9496 5.6659
```

Values from the calculation:
symmetry = Immm, No. 71
density of states at the Fermi level = 1.507 states/eV/atom
energy above the most stable polymorph in this dataset = 0.0 meV/atom
calculated formation energy = -0.083 eV/atom

---

A plane-wave DFT calculation with PBE was carried out for CrFeAs2 after structural relaxation.

Structure (extended XYZ):
```
4
Lattice="0.0000 2.9525 2.9525 2.9525 0.0000 2.9525 2.9525 2.9525 0.0000" Properties=species:S:1:pos:R:3 pbc="T T T"
As 4.4288 4.4288 4.4288
Cr 0.0000 0.0000 0.0000
Fe 2.9525 2.9525 2.9525
As 1.4763 1.4763 1.4763
```

Values from the calculation:
symmetry = Fm-3m, No. 225
density of states at the Fermi level = 0.568 states/eV/atom
energy above the most stable polymorph in this dataset = 316.6 meV/atom
calculated formation energy = 0.113 eV/atom

---

A plane-wave DFT calculation with PBE was carried out for ErSi2PdPt2 after structural relaxation.

Structure (extended XYZ):
```
6
Lattice="4.1817 0.0000 0.0000 -2.0909 3.6215 0.0000 0.0000 0.0000 6.7069" Properties=species:S:1:pos:R:3 pbc="T T T"
Er 0.0000 0.0000 0.0000
Pd 0.0000 0.0000 3.3534
Si 0.0000 2.4143 2.0852
Pt 0.0000 2.4143 4.8024
Si 2.0909 1.2072 4.6216
Pt 2.0909 1.2072 1.9045
```

Values from the calculation:
ΔE_f (raw) = -0.97 eV per atom
symmetry = P-3m1, No. 164
density of states at the Fermi level = 0.236 states/eV/atom

---

Number 1: volume 262.76 Å³ per cell. Number 2: volume 100.09 Å³ per cell. Number 3: volume 51.48 Å³ per cell. Number 4: volume 101.57 Å³ per cell.